Density functional theory data (PBE) for a relaxed structure of Rb2GaSnSe5. Values from VASP.

Calculated values
As for the total energy: -3.6119 eV per atom. Its density of states at the Fermi level is 2.1 states/eV/f.u. The uncorrected formation energy comes out at -0.68 eV/atom. The space group is Cmc2_1, No. 36.

Cell and atoms, written as Quantum ESPRESSO input:
```
&SYSTEM
  ibrav = 0, nat = 18, ntyp = 4
/
ATOMIC_SPECIES
Rb 85.47 Rb.upf
Ga 69.72 Ga.upf
Sn 118.71 Sn.upf
Se 78.96 Se.upf
ATOMIC_POSITIONS angstrom
Rb 1.911 7.953 11.871
Rb 0.000 2.507 10.069
Rb 0.000 2.648 4.449
Rb 1.911 8.093 2.648
Ga 1.911 1.613 13.920
Ga 0.000 8.987 6.498
Sn 1.911 6.012 7.797
Sn 0.000 4.588 0.375
Se 0.000 7.165 14.699
Se 1.911 4.037 13.278
Se 1.911 0.276 11.963
Se 0.000 5.990 9.664
Se 1.911 9.086 8.028
Se 1.911 3.436 7.278
Se 0.000 6.563 5.857
Se 0.000 10.324 4.541
Se 1.911 4.610 2.242
Se 0.000 1.514 0.606
CELL_PARAMETERS angstrom
3.823 0.000 0.000
-1.911 10.600 0.000
0.000 0.000 14.843
```